# Pm8ThSn5 | Alexandria via LeMat-Bulk | PBE | optimized geometry
# total energy: -5.16 eV per atom
# ΔH_f (0 K): -0.485 eV/atom
# ρ: 7.51 Mg/m³
# total magnetization: 0.0 μB/f.u.
data_Pm8ThSn5
_cell_length_a 9.604
_cell_length_b 9.604
_cell_length_c 9.517
_cell_angle_alpha 90.00
_cell_angle_beta 90.00
_cell_angle_gamma 90.00
_space_group_name_H-M_alt 'I -4'
_space_group_IT_number 82
loop_
_space_group_symop_operation_xyz
'x,y,z'
'y,-x,-z'
'-x,-y,z'
'-y,x,-z'
'x+1/2,y+1/2,z+1/2'
'y+1/2,-x+1/2,-z+1/2'
'-x+1/2,-y+1/2,z+1/2'
'-y+1/2,x+1/2,-z+1/2'
loop_
_atom_site_label
_atom_site_fract_x
_atom_site_fract_y
_atom_site_fract_z
Pm1 0.072 0.163 0.198
Pm2 0.076 0.316 0.559
Th1 0.000 0.500 0.250
Sn1 0.000 0.000 0.500
Sn2 0.134 0.252 0.880